1.
Density functional theory data (PBE) for a relaxed structure of LaTiReRh2.

Values from the calculation:
N(E_F) ... 1.593 states/eV per atom
VASP energy ... -30.6 eV/cell
ΔE_f ... 1.88 eV per atom

Cell: 4.678 4.678 4.857 Å, 90.00 90.00 90.00°
Fractional coordinates of all 5 atoms:
La 0.000 0.000 0.000
Ti 0.000 0.000 0.500
Re 0.500 0.500 0.500
Rh 0.000 0.500 0.000
Rh 0.500 0.000 0.000

---

2.
Density functional theory data (PBE) for a relaxed structure of ZnBiAu2.

Values from the calculation:
N(E_F) ... 0.409 states/eV per atom
VASP energy ... -23.0 eV/cell
ΔE_f ... 0.05 eV per atom

Cell: 9.520 9.520 9.520 Å, 152.49 152.49 39.30°
Fractional coordinates of all 8 atoms:
Zn 0.000 0.000 0.000
Zn 0.750 0.250 0.500
Bi 0.250 0.750 0.500
Bi 0.500 0.500 0.000
Au 0.077 0.625 0.952
Au 0.375 0.327 0.452
Au 0.673 0.125 0.048
Au 0.875 0.923 0.548

---

> Which formula does entry 2 have?

ZnBiAu2